(1)
12
Lattice="2.3578 1.3613 5.8745 -2.3578 1.3613 5.8745 0.0000 -2.7226 5.8745" Properties=species:S:1:pos:R:3 comment="AcFe2SnH8, optimized geometry, DFT PBE" total_energy_ev_per_atom=-4.3776 n_ef_per_ev_fu=3.96 pbc="T T T"
Ac 0.0000 0.0000 0.0000
Fe 0.0000 0.0000 3.4479
Fe 0.0000 0.0000 14.1756
Sn 0.0000 0.0000 8.8118
H 0.0000 -1.6012 3.7423
H -1.3867 0.8006 3.7423
H 0.0000 0.0000 5.0996
H -1.3867 -0.8006 13.8812
H 1.3867 0.8006 3.7423
H 0.0000 0.0000 12.5239
H 1.3867 -0.8006 13.8812
H 0.0000 1.6012 13.8812

---

(2)
4
Lattice="0.0000 3.0569 3.0569 3.0569 0.0000 3.0569 3.0569 3.0569 0.0000" Properties=species:S:1:pos:R:3 comment="SnBF2, optimized geometry, DFT PBE" e_form_raw_ev_per_atom=-0.23 n_ef_per_ev_fu=2.02 e_above_lowest_polymorph_mev_per_atom=622 pbc="T T T"
Sn 0.0000 0.0000 0.0000
B 3.0569 3.0569 3.0569
F 1.5285 1.5285 1.5285
F 4.5854 4.5854 4.5854

---

(3)
5
Lattice="5.0479 0.0000 0.0000 0.0000 5.0479 0.0000 0.0000 0.0000 5.0479" Properties=species:S:1:pos:R:3 comment="KRbNi3, optimized geometry, DFT PBE" n_ef_per_ev_fu=2.60 e_above_lowest_polymorph_mev_per_atom=56 pbc="T T T"
K 0.0000 0.0000 0.0000
Rb 2.5240 2.5240 2.5240
Ni 0.0000 2.5240 2.5240
Ni 2.5240 0.0000 2.5240
Ni 2.5240 2.5240 0.0000

---

(4)
4
Lattice="2.0953 1.2097 7.1958 -2.0953 1.2097 7.1958 0.0000 -2.4194 7.1958" Properties=species:S:1:pos:R:3 comment="LaErAs2, optimized geometry, DFT PBE" n_ef_per_ev_fu=0.31 e_above_lowest_polymorph_mev_per_atom=166 pbc="T T T"
La 0.0000 0.0000 0.0000
Er 0.0000 0.0000 17.8927
As 0.0000 0.0000 9.0117
As 0.0000 0.0000 12.4437

---

(5)
3
Lattice="-1.7193 1.7193 6.4610 1.7193 -1.7193 6.4610 1.7193 1.7193 -6.4610" Properties=species:S:1:pos:R:3 comment="PmYFe, optimized geometry, DFT PBE" n_ef_per_ev_fu=4.12 e_above_lowest_polymorph_mev_per_atom=50 pbc="T T T"
Pm 0.0000 0.0000 0.0000
Y 0.0000 0.0000 9.6225
Fe 0.0000 0.0000 4.7747

---

(6)
7
Lattice="4.9492 0.0000 0.0000 0.0000 4.9492 0.0000 0.0000 0.0000 7.4715" Properties=species:S:1:pos:R:3 comment="NaLi2Pb4, optimized geometry, DFT PBE" n_ef_per_ev_fu=2.64 e_above_lowest_polymorph_mev_per_atom=0 pbc="T T T"
Na 0.0000 0.0000 0.0000
Li 0.0000 0.0000 3.7358
Li 2.4746 2.4746 0.0000
Pb 0.0000 2.4746 2.0982
Pb 0.0000 2.4746 5.3734
Pb 2.4746 0.0000 2.0982
Pb 2.4746 0.0000 5.3734